The following is a PBE-GGA calculation of LaAsP2Br after structural relaxation, from Alexandria.

Summary:
magnetization: 0.43 μB per cell
theoretical density: 3.1 g/cm3
formation energy (no corrections): 834 meV per atom
space group: P4/mmm, No. 123
distance to the lowest polymorph of the same formula: 27.2 kJ/mol of atoms
calculated volume: 37.57 Å³/atom

abc: 5.604 5.982 5.604
angles: 90.00 90.00 90.00
Site moments in Bohr magnetons follow the coordinates.
Fractional coordinates of all 5 atoms:
P1 0.000 0.000 0.500  0.48
P2 0.500 0.000 0.000  0.28
Br1 0.500 0.500 0.500  0.03
As1 0.000 0.500 0.000  -0.62
La1 0.000 0.000 0.000  0.04